1.
# GGA-PBE CrC3, optimized geometry
data_CrC3
_chemical_formula_sum 'Cr2 C6'
_cell_length_a 3.849
_cell_length_b 3.849
_cell_length_c 3.849
_cell_angle_alpha 90.00
_cell_angle_beta 90.00
_cell_angle_gamma 90.00
_symmetry_space_group_name_H-M 'P m -3 n'
_symmetry_Int_Tables_number 223
_symmetry_space_group_name_Hall '-P 4n 2 3'
loop_
_atom_site_label
_atom_site_type_symbol
_atom_site_fract_x
_atom_site_fract_y
_atom_site_fract_z
Cr1 Cr 0.000 0.000 0.000
C1 C 0.000 0.250 0.500
# ΔE_f (eV per atom): 2.163
# E above lowest polymorph (eV/f.u.): 5.811
# Energy (Ha/atom): -0.2632
# N(E_F) (states/eV/f.u.): 1.680

***

2.
# GGA-PBE CrC, optimized geometry
data_CrC
_chemical_formula_sum 'Cr6 C6'
_cell_length_a 5.359
_cell_length_b 5.359
_cell_length_c 5.359
_cell_angle_alpha 90.00
_cell_angle_beta 90.00
_cell_angle_gamma 90.00
_symmetry_space_group_name_H-M 'P m -3 n'
_symmetry_Int_Tables_number 223
_symmetry_space_group_name_Hall '-P 4n 2 3'
loop_
_atom_site_label
_atom_site_type_symbol
_atom_site_fract_x
_atom_site_fract_y
_atom_site_fract_z
Cr1 Cr 0.000 0.250 0.500
C1 C 0.000 0.500 0.250
# ΔE_f (eV per atom): 0.503
# Energy (Ha/atom): -0.3278
# N(E_F) (states/eV/f.u.): 1.346

***

3.
# GGA-PBE Cr2C3, optimized geometry
data_Cr2C3
_chemical_formula_sum 'Cr16 C24'
_cell_length_a 9.010
_cell_length_b 9.323
_cell_length_c 4.009
_cell_angle_alpha 90.00
_cell_angle_beta 90.00
_cell_angle_gamma 90.00
_symmetry_space_group_name_H-M 'F d d 2'
_symmetry_Int_Tables_number 43
_symmetry_space_group_name_Hall 'F 2 -2d'
loop_
_atom_site_label
_atom_site_type_symbol
_atom_site_fract_x
_atom_site_fract_y
_atom_site_fract_z
Cr1 Cr 0.087 0.239 0.000
C1 C 0.000 0.000 0.103
C2 C 0.124 0.187 0.525
# ΔE_f (eV per atom): 0.648
# E above lowest polymorph (eV/f.u.): 0.378
# Energy (Ha/atom): -0.3210
# N(E_F) (states/eV/f.u.): 3.657

***

4.
# GGA-PBE CrC3, optimized geometry
data_CrC3
_chemical_formula_sum 'Cr4 C12'
_cell_length_a 5.334
_cell_length_b 13.649
_cell_length_c 2.830
_cell_angle_alpha 90.00
_cell_angle_beta 90.00
_cell_angle_gamma 90.00
_symmetry_space_group_name_H-M 'C m c m'
_symmetry_Int_Tables_number 63
_symmetry_space_group_name_Hall '-C 2c 2'
loop_
_atom_site_label
_atom_site_type_symbol
_atom_site_fract_x
_atom_site_fract_y
_atom_site_fract_z
Cr1 Cr 0.000 0.243 0.250
C1 C 0.000 0.126 0.750
C2 C 0.231 0.163 0.750
# ΔE_f (eV per atom): 1.032
# E above lowest polymorph (eV/f.u.): 1.286
# Energy (Ha/atom): -0.3047
# N(E_F) (states/eV/f.u.): 1.321

***

5.
# GGA-PBE CrC4, optimized geometry
data_CrC4
_chemical_formula_sum 'Cr1 C4'
_cell_length_a 2.5844
_cell_length_b 2.5844
_cell_length_c 6.1696
_cell_angle_alpha 90.00
_cell_angle_beta 90.00
_cell_angle_gamma 120.00
_symmetry_space_group_name_H-M 'P -3 m 1'
_symmetry_Int_Tables_number 164
_symmetry_space_group_name_Hall '-P 3 2"'
loop_
_atom_site_label
_atom_site_type_symbol
_atom_site_fract_x
_atom_site_fract_y
_atom_site_fract_z
Cr1 Cr 0.0000 0.0000 0.0000
C1 C 0.3333 0.6667 0.2173
C2 C 0.3333 0.6667 0.4560
# ΔE_f (eV per atom): 0.509
# E above lowest polymorph (eV/f.u.): 0.000
# Energy (Ha/atom): -0.3232
# N(E_F) (states/eV/f.u.): 1.536

***

6.
# GGA-PBE CrC3, optimized geometry
data_CrC3
_chemical_formula_sum 'Cr1 C3'
_cell_length_a 3.175
_cell_length_b 2.544
_cell_length_c 3.735
_cell_angle_alpha 90.00
_cell_angle_beta 104.64
_cell_angle_gamma 90.00
_symmetry_space_group_name_H-M 'P 1 2/m 1'
_symmetry_Int_Tables_number 10
loop_
_symmetry_equiv_pos_as_xyz
'x,y,z'
'-x,-y,-z'
'-x,y,-z'
'x,-y,z'
loop_
_atom_site_label
_atom_site_type_symbol
_atom_site_fract_x
_atom_site_fract_y
_atom_site_fract_z
Cr1 Cr 0.000 0.000 0.000
C1 C 0.447 0.500 0.795
C2 C 0.500 0.000 0.500
# ΔE_f (eV per atom): 1.472
# E above lowest polymorph (eV/f.u.): 3.048
# Energy (Ha/atom): -0.2885
# N(E_F) (states/eV/f.u.): 2.083